Entry 1:
A plane-wave DFT calculation with PBE-GGA was carried out for a relaxed CsGe3Pb crystal.

Structure (extended XYZ):
```
5
Lattice="-2.559 -5.071 -0.073 3.680 -1.801 -3.935 3.490 -1.820 4.096" Properties=species:S:1:pos:R:3 pbc="T T T"
Pb 0.000 0.000 0.000
Ge -1.280 -2.535 -0.036
Ge 1.840 -0.900 -1.967
Cs 2.305 -4.346 0.044
Ge 1.745 -0.910 2.048
```

Computed properties:
The symmetry is No. 221. As for the volume: 183.3 Å³/f.u. For the mass density, the calculation gives 5.1 g/cm³. The calculation puts the energy of formation from the pure elements at 63 kJ/mol of atoms. Its raw total energy is -0.1114 hartree per atom. As for the crystal system: cubic. The calculation puts the energy above the most stable polymorph in this dataset at 0.00 eV per formula unit.



Entry 2:
A plane-wave DFT calculation with PBE-GGA was carried out for a relaxed RbBaBi crystal.

Structure (extended XYZ):
```
3
Lattice="-1.551 -4.372 1.468 3.518 -2.123 -2.605 2.537 3.520 5.101" Properties=species:S:1:pos:R:3 pbc="T T T"
Rb 1.736 -3.189 0.400
Ba 2.182 0.169 2.808
Bi 4.034 -3.011 3.358
```

Computed properties:
The symmetry is No. 107. As for the volume: 136.0 Å³/f.u. For the mass density, the calculation gives 5.3 g/cm³. The calculation puts the energy of formation from the pure elements at -46 kJ/mol of atoms. Its raw total energy is -0.1005 hartree per atom. As for the crystal system: tetragonal.



Entry 3:
A plane-wave DFT calculation with PBE-GGA was carried out for a relaxed RbPRu crystal.

Structure (extended XYZ):
```
6
Lattice="-0.361 0.018 -6.708 -5.479 -4.046 -4.198 1.439 6.405 -2.171" Properties=species:S:1:pos:R:3 pbc="T T T"
Ru -1.393 -0.003 -3.535
P -3.855 0.802 -10.270
Rb -1.959 3.292 -5.584
P -0.308 1.521 -2.254
Rb -2.212 -0.964 -6.939
Ru -2.770 2.325 -8.989
```

Computed properties:
The symmetry is No. 2. As for the volume: 91.6 Å³/f.u. For the mass density, the calculation gives 3.9 g/cm³. The calculation puts the energy of formation from the pure elements at -21 kJ/mol of atoms. Its raw total energy is -0.1997 hartree per atom. As for the crystal system: triclinic.



What is the formula in the third record?
RbPRu